Density functional theory data (PBE with a Hubbard U) for crystalline MoIrN2F at its relaxed geometry.

The structure in POSCAR format:
```
MoIrN2F
1.0
3.8036 0.0000 0.0000
0.0000 3.8036 0.0000
0.0000 0.0000 4.8189
N Mo Ir F
2 1 1 1
Direct
0.0000 0.5000 0.0000
0.5000 0.0000 0.0000
0.5000 0.5000 0.5000
0.0000 0.0000 0.0000
0.0000 0.0000 0.5000
```

Results
energy above the lowest structure with this stoichiometry = 0.000 eV per atom